--- i ---
The following is a PBE calculation of MgZr2Ag2 after structural relaxation, from Alexandria via LeMat-Bulk.

space group: P4/mbm
spin magnetization: 0.0000 μB per atom

Lattice parameters (Å, degrees): 8.4330 8.4330 3.0299 90.00 90.00 90.00
Closest atoms and distances in Å follow each position.
Positions (direct):
1 Mg 0.0000 0.0000 0.0000  2 Mg 3.03, 4 Zr 3.14
2 Mg 0.5000 0.5000 0.0000  2 Mg 3.03, 4 Zr 3.14
3 Zr 0.3330 0.8330 0.0000  6 Ag 2.88-2.93, 2 Zr 3.03, 2 Mg 3.14
4 Zr 0.8330 0.6670 0.0000  6 Ag 2.88-2.93, 2 Zr 3.03, 2 Mg 3.14
5 Zr 0.6670 0.1670 0.0000  6 Ag 2.88-2.93, 2 Zr 3.03, 2 Mg 3.14
6 Zr 0.1670 0.3330 0.0000  6 Ag 2.88-2.93, 2 Zr 3.03, 2 Mg 3.14
7 Ag 0.1274 0.6274 0.5000  6 Zr 2.88-2.93, 3 Ag 3.03-3.04
8 Ag 0.6274 0.8726 0.5000  6 Zr 2.88-2.93, 3 Ag 3.03-3.04
9 Ag 0.8726 0.3726 0.5000  6 Zr 2.88-2.93, 3 Ag 3.03-3.04
10 Ag 0.3726 0.1274 0.5000  6 Zr 2.88-2.93, 3 Ag 3.03-3.04

***

--- ii ---
The following is a PBE calculation of MgZr2Ag2 after structural relaxation, from Alexandria via LeMat-Bulk.

space group: I4/mmm
spin magnetization: 0.0000 μB per atom

Lattice parameters (Å, degrees): 4.0965 4.0965 7.3915 106.09 106.09 90.00
Closest atoms and distances in Å follow each position.
Positions (direct):
1 Mg 0.0000 0.0000 0.0000  8 Ag 3.18
2 Zr 0.7500 0.2500 0.5000  4 Zr 2.90, 4 Ag 2.93
3 Zr 0.2500 0.7500 0.5000  4 Zr 2.90, 4 Ag 2.93
4 Ag 0.4039 0.4039 0.8078  1 Ag 2.61
5 Ag 0.5961 0.5961 0.1922  1 Ag 2.61

***

--- iii ---
The following is a PBE calculation of MgZr2Ag2 after structural relaxation, from Alexandria via LeMat-Bulk.

space group: P4/mbm
spin magnetization: 0.0000 μB per atom

Lattice parameters (Å, degrees): 8.1996 8.1996 3.1448 90.00 90.00 90.00
Closest atoms and distances in Å follow each position.
Positions (direct):
1 Mg 0.0000 0.0000 0.0000  2 Mg 3.14, 4 Ag 3.25, 8 Zr 3.42
2 Mg 0.5000 0.5000 0.0000  2 Mg 3.14, 4 Ag 3.25, 8 Zr 3.42
3 Zr 0.1722 0.6722 0.5000  6 Ag 2.84-2.92, 2 Zr 3.14
4 Zr 0.6722 0.8278 0.5000  6 Ag 2.84-2.92, 2 Zr 3.14
5 Zr 0.8278 0.3278 0.5000  6 Ag 2.84-2.92, 2 Zr 3.14
6 Zr 0.3278 0.1722 0.5000  6 Ag 2.84-2.92, 2 Zr 3.14
7 Ag 0.3759 0.8759 0.0000  6 Zr 2.84-2.92, 3 Ag 2.88-3.14
8 Ag 0.8759 0.6241 0.0000  6 Zr 2.84-2.92, 3 Ag 2.88-3.14
9 Ag 0.6241 0.1241 0.0000  6 Zr 2.84-2.92, 3 Ag 2.88-3.14
10 Ag 0.1241 0.3759 0.0000  6 Zr 2.84-2.92, 3 Ag 2.88-3.14

***

Energies relative to the most stable structure, in kJ/mol of atoms: i 14.4; ii 18.7; iii 0.0.